Record 1
Compound: CsF3
Source: Alexandria
Functional: PBE-GGA
Structure: relaxed

```
CsF3
1.0
2.6013 0.0000 6.1070
-1.3007 2.2528 6.1070
-1.3007 -2.2528 6.1070
F Cs
3 1
direct
0.0000 0.0000 0.0000
0.9061 0.9061 0.9061
0.0939 0.0939 0.0939
0.5000 0.5000 0.5000
```

Computed properties:
Formation energy (no corrections) = -5.87 eV/f.u.
Space-group type = R-3m, No. 166
Total magnetization = 0.00 μB per atom



Record 2
Compound: CsF3
Source: Alexandria
Functional: PBE-GGA
Structure: relaxed

```
CsF3
1.0
3.7775 0.0000 0.0000
0.0000 5.6010 0.0000
-1.8888 -2.8005 3.6359
F Cs
3 1
direct
0.5000 0.4167 0.0000
0.8177 0.2344 0.6355
0.1823 0.5989 0.3645
0.0000 0.9167 0.0000
```

Computed properties:
Formation energy (no corrections) = -5.00 eV/f.u.
Space-group type = Immm, No. 71
Total magnetization = 0.50 μB per atom